# 1
Computed, not measured: a relaxed PmPr4Tm crystal at the PBE-GGA level of DFT. Values from VASP.

M_tot ... 0.000 μB per cell
VASP energy ... -4.70 eV/atom
DFT formation energy ... 0.019 eV per atom

The structure in Quantum ESPRESSO input format:
```
&SYSTEM
  ibrav = 0, nat = 6, ntyp = 3
/
ATOMIC_SPECIES
Pm 145.00 Pm.upf
Pr 140.91 Pr.upf
Tm 168.93 Tm.upf
CELL_PARAMETERS angstrom
2.599 -7.784 0.000
2.599 7.784 0.000
0.000 0.000 5.184
ATOMIC_POSITIONS crystal
Pm 0.000 0.000 0.000
Pr 0.165 0.835 0.500
Pr 0.336 0.664 0.000
Pr 0.664 0.336 0.000
Pr 0.835 0.165 0.500
Tm 0.500 0.500 0.500
```

---

# 2
Computed, not measured: a relaxed Pm2Pr3Tm6 crystal at the PBE-GGA level of DFT. Values from VASP.

M_tot ... 0.000 μB per cell
VASP energy ... -4.35 eV/atom
DFT formation energy ... 0.259 eV per atom

The structure in Quantum ESPRESSO input format:
```
&SYSTEM
  ibrav = 0, nat = 11, ntyp = 3
/
ATOMIC_SPECIES
Pm 145.00 Pm.upf
Pr 140.91 Pr.upf
Tm 168.93 Tm.upf
CELL_PARAMETERS angstrom
-2.384 2.384 16.545
2.384 -2.384 16.545
2.384 2.384 -16.545
ATOMIC_POSITIONS crystal
Pm 0.046 0.046 0.000
Pm 0.954 0.954 0.000
Pr 0.295 0.295 0.000
Pr 0.500 0.500 0.000
Pr 0.705 0.705 0.000
Tm 0.121 0.621 0.500
Tm 0.190 0.190 0.000
Tm 0.379 0.879 0.500
Tm 0.621 0.121 0.500
Tm 0.810 0.810 0.000
Tm 0.879 0.379 0.500
```

---

# 3
Computed, not measured: a relaxed Pm3Pr8Tm2 crystal at the PBE-GGA level of DFT. Values from VASP.

M_tot ... 0.000 μB per cell
VASP energy ... -4.57 eV/atom
DFT formation energy ... 0.152 eV per atom

The structure in Quantum ESPRESSO input format:
```
&SYSTEM
  ibrav = 0, nat = 13, ntyp = 3
/
ATOMIC_SPECIES
Pm 145.00 Pm.upf
Pr 140.91 Pr.upf
Tm 168.93 Tm.upf
CELL_PARAMETERS angstrom
6.650 -5.978 0.000
6.650 5.978 0.000
-2.455 0.000 5.756
ATOMIC_POSITIONS crystal
Pm 0.000 0.000 0.000
Pm 0.246 0.754 0.500
Pm 0.754 0.246 0.500
Pr 0.083 0.571 0.829
Pr 0.152 0.152 0.550
Pr 0.429 0.917 0.171
Pr 0.444 0.444 0.710
Pr 0.556 0.556 0.290
Pr 0.571 0.083 0.829
Pr 0.848 0.848 0.450
Pr 0.917 0.429 0.171
Tm 0.288 0.288 0.142
Tm 0.712 0.712 0.858
```

---

# 4
Computed, not measured: a relaxed Pm2PrTm8 crystal at the PBE-GGA level of DFT. Values from VASP.

M_tot ... 0.000 μB per cell
VASP energy ... -4.52 eV/atom
DFT formation energy ... 0.027 eV per atom

The structure in Quantum ESPRESSO input format:
```
&SYSTEM
  ibrav = 0, nat = 11, ntyp = 3
/
ATOMIC_SPECIES
Pm 145.00 Pm.upf
Pr 140.91 Pr.upf
Tm 168.93 Tm.upf
CELL_PARAMETERS angstrom
9.019 -2.505 0.000
9.019 2.505 0.000
-2.075 0.000 7.631
ATOMIC_POSITIONS crystal
Pm 0.228 0.228 0.137
Pm 0.772 0.772 0.863
Pr 0.500 0.500 0.500
Tm 0.045 0.045 0.226
Tm 0.137 0.137 0.680
Tm 0.318 0.318 0.593
Tm 0.410 0.410 0.044
Tm 0.590 0.590 0.956
Tm 0.682 0.682 0.407
Tm 0.863 0.863 0.320
Tm 0.955 0.955 0.774
```

---

# 5
Computed, not measured: a relaxed Pm4Pr4Tm crystal at the PBE-GGA level of DFT. Values from VASP.

M_tot ... 0.000 μB per cell
VASP energy ... -4.72 eV/atom
DFT formation energy ... 0.014 eV per atom

The structure in Quantum ESPRESSO input format:
```
&SYSTEM
  ibrav = 0, nat = 9, ntyp = 3
/
ATOMIC_SPECIES
Pm 145.00 Pm.upf
Pr 140.91 Pr.upf
Tm 168.93 Tm.upf
CELL_PARAMETERS angstrom
-5.494 5.494 2.584
5.494 -5.494 2.584
5.494 5.494 -2.584
ATOMIC_POSITIONS crystal
Pm 0.000 0.333 0.333
Pm 0.000 0.667 0.667
Pm 0.333 0.000 0.333
Pm 0.667 0.000 0.667
Pr 0.334 0.334 0.669
Pr 0.334 0.666 0.000
Pr 0.666 0.334 0.000
Pr 0.666 0.666 0.331
Tm 0.000 0.000 0.000
```

---

# 6
Computed, not measured: a relaxed Pm7Pr2Tm crystal at the PBE-GGA level of DFT. Values from VASP.

M_tot ... 0.000 μB per cell
VASP energy ... -4.58 eV/atom
DFT formation energy ... 0.147 eV per atom

The structure in Quantum ESPRESSO input format:
```
&SYSTEM
  ibrav = 0, nat = 10, ntyp = 3
/
ATOMIC_SPECIES
Pm 145.00 Pm.upf
Pr 140.91 Pr.upf
Tm 168.93 Tm.upf
CELL_PARAMETERS angstrom
3.367 -14.707 0.000
3.367 14.707 0.000
0.000 0.000 3.498
ATOMIC_POSITIONS crystal
Pm 0.000 0.000 0.000
Pm 0.159 0.354 0.000
Pm 0.312 0.688 0.500
Pm 0.354 0.159 0.000
Pm 0.646 0.841 0.000
Pm 0.688 0.312 0.500
Pm 0.841 0.646 0.000
Pr 0.204 0.796 0.000
Pr 0.796 0.204 0.000
Tm 0.500 0.500 0.500
```

---

| no. | excess energy over the best structure of this formula in the dataset (meV/atom) |
| --- | --- |
| 1 | 0.0 |
| 2 | 64.0 |
| 3 | 0.0 |
| 4 | 0.0 |
| 5 | 0.0 |
| 6 | 0.0 |